An optimized crystal structure of PmNiTe2O8, computed with PBE+U.

Lattice parameters (Å, degrees): 7.2483 7.2483 6.8477 90.00 90.00 90.00
Space group I-4m2 (No. 119)
Unique sites:
Pm (0.0000, 0.0000, 0.0000)
Ni (0.0000, 0.5000, 0.7500)
Te (0.0000, 0.0000, 0.5000)
Te (0.0000, 0.5000, 0.2500)
O (0.0000, 0.1978, 0.6919)
O (0.0000, 0.3143, 0.0676)

Results
For the density of states at the Fermi level, the calculation gives 4.68 states/eV/cell. For the raw total energy, the calculation gives -137.2 eV per cell.